## PmSm8Sc2 (PBE-GGA)

Data for a geometry-optimized PmSm8Sc2 structure.

Results
Theoretical density, Mg/m³: 6.65
V, Å³ per cell: 358.8
DFT total energy, eV per atom: -4.8919
Energy of formation, eV/atom: 0.123
Space group: No. 71
Total moment, μB per cell: 0.000
Energy relative to the lowest polymorph listed for this composition, meV/atom: 0

abc: 5.497 8.324 9.292
angles: 116.61 107.21 90.00
Positions (direct):
Sc (0.200, 0.700, 0.400)
Sc (0.800, 0.300, 0.600)
Sm (0.643, 0.440, 0.286)
Sm (0.163, 0.163, 0.325)
Sm (0.357, 0.560, 0.714)
Sm (0.357, 0.154, 0.713)
Sm (0.000, 0.301, 0.000)
Sm (0.000, 0.699, 0.000)
Sm (0.643, 0.846, 0.287)
Sm (0.837, 0.837, 0.675)
Pm (0.500, 0.000, 0.000)